1.
Ac2MgCu4Sn3 | PBE | relaxed

Summary:
**DFT total energy**: -4.24 eV per atom

Cell lengths 4.5586, 4.5586, 10.9280 Å; angles 90.00, 90.00, 90.00 degrees
Fractional positions:
Ac 0.0000 0.5000 0.2356
Ac 0.5000 0.0000 0.7644
Mg 0.0000 0.0000 0.5000
Cu 0.0000 0.0000 0.0000
Cu 0.0000 0.5000 0.6341
Cu 0.5000 0.0000 0.3659
Cu 0.5000 0.5000 0.0000
Sn 0.0000 0.5000 0.8735
Sn 0.5000 0.0000 0.1265
Sn 0.5000 0.5000 0.5000

2.
LaCrReH2 | PBE | relaxed

Summary:
**DFT total energy**: -5.48 eV per atom

Cell lengths 3.7859, 3.7859, 5.7099 Å; angles 90.00, 90.00, 90.00 degrees
Fractional positions:
La 0.0000 0.0000 0.0000
Cr 0.5000 0.5000 0.5000
Re 0.0000 0.0000 0.5000
H 0.0000 0.5000 0.0000
H 0.5000 0.0000 0.0000

3.
CaNbO2 | PBE | relaxed

Summary:
**DFT total energy**: -7.34 eV per atom

Cell lengths 6.5167, 6.5167, 6.5167 Å; angles 135.96, 135.96, 64.04 degrees
Fractional positions:
Ca 0.0000 0.0000 0.0000
Ca 0.7500 0.2500 0.5000
Nb 0.2500 0.7500 0.5000
Nb 0.5000 0.5000 0.0000
O 0.1871 0.6250 0.0621
O 0.3750 0.4371 0.5621
O 0.5629 0.1250 0.9379
O 0.8750 0.8129 0.4379

4.
LaHgRu | PBE | relaxed

Summary:
**DFT total energy**: -4.85 eV per atom

Cell lengths 4.7254, 4.7254, 3.7569 Å; angles 90.00, 90.00, 120.00 degrees
Fractional positions:
La 0.0000 0.0000 0.0000
Hg 0.3333 0.6667 0.5000
Ru 0.6667 0.3333 0.5000

Number 1: calculated density 8.0 g/cm³, total magnetization 0.000 μB/atom. Number 2: calculated density 7.7 g/cm³, total magnetization 0.004 μB/atom. Number 3: calculated density 4.2 g/cm³, total magnetization 0.461 μB/atom. Number 4: calculated density 10.1 g/cm³, total magnetization 0.000 μB/atom.